# 1
Material: Cu2MoOsBr
Method: DFT, PBE-GGA
State: optimized geometry

Cell lengths 4.3056, 4.8285, 4.3056 Å; angles 90.00, 90.00, 90.00 degrees
With the nearest neighbours (Å) after each atom.
Sites, in units of the cell vectors:
Br1 0.0000 0.0000 0.0000  4 Cu 2.15
Cu1 0.5000 0.0000 0.0000  2 Br 2.15
Cu2 0.0000 0.0000 0.5000  2 Br 2.15
Mo1 0.0000 0.5000 0.0000  2 Br 2.41
Os1 0.5000 0.5000 0.5000  4 Mo 3.04, 8 Cu 3.23

SG: P4/mmm
Raw total energy (eV/atom): -4.5235
Crystal system: tetragonal
Energy relative to the elements, uncorrected (eV/atom): 1.86

# 2
Material: CuMo2PdBr
Method: DFT, PBE-GGA
State: optimized geometry

Cell lengths 4.7416, 4.5566, 4.7416 Å; angles 90.00, 90.00, 90.00 degrees
With the nearest neighbours (Å) after each atom.
Sites, in units of the cell vectors:
Mo1 0.5000 0.0000 0.0000  2 Cu 2.37
Mo2 0.0000 0.0000 0.5000  2 Cu 2.37
Pd1 0.5000 0.5000 0.5000  8 Mo 3.29, 4 Br 3.35
Cu1 0.0000 0.0000 0.0000  2 Br 2.28, 4 Mo 2.37
Br1 0.0000 0.5000 0.0000  2 Cu 2.28

SG: P4/mmm
Raw total energy (eV/atom): -4.7309
Crystal system: tetragonal
Energy relative to the elements, uncorrected (eV/atom): 1.79

# 3
Material: RbCu2MoBr8
Method: DFT, PBE-GGA
State: optimized geometry

Cell lengths 6.5706, 7.3603, 9.8169 Å; angles 58.85, 83.28, 89.24 degrees
With the nearest neighbours (Å) after each atom.
Sites, in units of the cell vectors:
Br1 0.8967 0.2771 0.7231  1 Cu 2.52, 1 Mo 2.58
Br2 0.8245 0.2023 0.1172  1 Mo 2.51
Br3 0.5141 0.7413 0.5203  2 Cu 2.42-2.45
Br4 0.6704 0.7759 0.0645  1 Cu 2.40, 1 Mo 2.55
Br5 0.1033 0.7229 0.2769  1 Cu 2.52, 1 Mo 2.58
Br6 0.3296 0.2241 0.9355  1 Cu 2.40, 1 Mo 2.55
Br7 0.1755 0.7977 0.8828  1 Mo 2.51
Br8 0.4859 0.2587 0.4797  2 Cu 2.42-2.45
Cu1 0.4719 0.6467 0.3223  4 Br 2.40-2.52
Cu2 0.5281 0.3533 0.6777  4 Br 2.40-2.52
Rb1 0.0000 0.0000 0.5000  8 Br 3.58-3.83
Mo1 0.0000 0.0000 0.0000  6 Br 2.51-2.58

SG: P-1
Raw total energy (eV/atom): -3.4150
Crystal system: triclinic
Energy relative to the elements, uncorrected (eV/atom): -0.63

# 4
Material: CuMo2RuBr
Method: DFT, PBE-GGA
State: optimized geometry

Cell lengths 4.6204, 4.5799, 4.6204 Å; angles 90.00, 90.00, 90.00 degrees
With the nearest neighbours (Å) after each atom.
Sites, in units of the cell vectors:
Cu1 0.0000 0.0000 0.0000  2 Ru 2.29, 4 Mo 2.31
Ru1 0.0000 0.5000 0.0000  2 Cu 2.29
Mo1 0.5000 0.0000 0.0000  2 Cu 2.31
Mo2 0.0000 0.0000 0.5000  2 Cu 2.31
Br1 0.5000 0.5000 0.5000  8 Mo 3.25, 4 Ru 3.27

SG: P4/mmm
Raw total energy (eV/atom): -5.4424
Crystal system: tetragonal
Energy relative to the elements, uncorrected (eV/atom): 1.90

# 5
Material: CuMoSBr2
Method: DFT, PBE-GGA
State: optimized geometry

Cell lengths 4.5961, 4.5961, 6.1414 Å; angles 90.00, 90.00, 90.00 degrees
With the nearest neighbours (Å) after each atom.
Sites, in units of the cell vectors:
Br1 0.5000 0.0000 0.0000  2 Cu 2.30
Br2 0.0000 0.5000 0.0000  2 Cu 2.30
Cu1 0.0000 0.0000 0.0000  4 Br 2.30
Mo1 0.0000 0.0000 0.5000  2 Cu 3.07, 4 S 3.25
S1 0.5000 0.5000 0.5000  4 Mo 3.25

SG: P4/mmm
Raw total energy (eV/atom): -3.5375
Crystal system: tetragonal
Energy relative to the elements, uncorrected (eV/atom): 0.94

# 6
Material: Sc2CuMoBr
Method: DFT, PBE-GGA
State: optimized geometry

Cell lengths 4.9248, 4.3868, 4.9248 Å; angles 90.00, 90.00, 90.00 degrees
With the nearest neighbours (Å) after each atom.
Sites, in units of the cell vectors:
Sc1 0.5000 0.0000 0.0000  2 Br 2.46
Sc2 0.0000 0.0000 0.5000  2 Br 2.46
Cu1 0.0000 0.5000 0.0000  2 Br 2.19
Br1 0.0000 0.0000 0.0000  2 Cu 2.19
Mo1 0.5000 0.5000 0.5000  8 Sc 3.30, 4 Cu 3.48

SG: P4/mmm
Raw total energy (eV/atom): -5.1172
Crystal system: tetragonal
Energy relative to the elements, uncorrected (eV/atom): 0.74

# 7
Material: CuMoSe2Br
Method: DFT, PBE-GGA
State: optimized geometry

Cell lengths 4.8572, 4.8572, 5.4128 Å; angles 90.00, 90.00, 90.00 degrees
With the nearest neighbours (Å) after each atom.
Sites, in units of the cell vectors:
Br1 0.0000 0.0000 0.5000  2 Mo 2.71
Se1 0.0000 0.5000 0.0000  2 Mo 2.43
Se2 0.5000 0.0000 0.0000  2 Mo 2.43
Cu1 0.5000 0.5000 0.5000  4 Br 3.43, 8 Se 3.64
Mo1 0.0000 0.0000 0.0000  4 Se 2.43, 2 Br 2.71

SG: P4/mmm
Raw total energy (eV/atom): -4.2654
Crystal system: tetragonal
Energy relative to the elements, uncorrected (eV/atom): 0.45

# 8
Material: TaCu2MoBr
Method: DFT, PBE-GGA
State: optimized geometry

Cell lengths 4.3909, 4.7696, 4.3909 Å; angles 90.00, 90.00, 90.00 degrees
With the nearest neighbours (Å) after each atom.
Sites, in units of the cell vectors:
Ta1 0.5000 0.5000 0.5000  4 Mo 3.10, 8 Cu 3.24
Mo1 0.0000 0.5000 0.0000  2 Br 2.38
Cu1 0.0000 0.0000 0.5000  2 Br 2.20
Cu2 0.5000 0.0000 0.0000  2 Br 2.20
Br1 0.0000 0.0000 0.0000  4 Cu 2.20, 2 Mo 2.38

SG: P4/mmm
Raw total energy (eV/atom): -4.9516
Crystal system: tetragonal
Energy relative to the elements, uncorrected (eV/atom): 1.56

- Among the records above, which one has the lowest raw total energy?
  CuMo2RuBr